(1)
This record from Alexandria describes a relaxed structure of ErMgSb. The functional is PBE.

Computed properties:
SG = R-3m, No. 166
energy above the most stable polymorph in this dataset = 14.3 kJ/mol of atoms
magnetization = 0.55 μB per formula unit
uncorrected energy = -3.7307 eV/atom

Unit cell a=4.4395 b=4.4395 c=10.7093 alpha=78.04 beta=78.04 gamma=60.00
Last column: magnetic moment on the atom in μB.
Atoms (fractional coordinates):
Sb 0.6007 0.6007 0.1980  0.00
Sb 0.3993 0.3993 0.8020  0.00
Mg 0.3028 0.3028 0.0916  0.00
Mg 0.6972 0.6972 0.9084  0.00
Er 0.8751 0.8751 0.3748  0.32
Er 0.1249 0.1249 0.6252  0.32

(2)
This record from Alexandria describes a relaxed structure of Ac2Pm3Nd8. The functional is PBE.

Computed properties:
SG = C2/m, No. 12
energy above the most stable polymorph in this dataset = 0.0 kJ/mol of atoms
magnetization = 0.00 μB per formula unit
DFT formation energy = 0.1703 eV per atom
uncorrected energy = -4.4921 eV/atom

Unit cell a=6.3788 b=9.0792 c=9.0792 alpha=83.51 beta=72.81 gamma=72.81
Atoms (fractional coordinates):
Ac 0.3555 0.2967 0.2967
Ac 0.6445 0.7033 0.7033
Pm 0.5000 0.0000 0.0000
Pm 0.0000 0.2456 0.7544
Pm 0.0000 0.7544 0.2456
Nd 0.2271 0.5690 0.5690
Nd 0.7729 0.4310 0.4310
Nd 0.9599 0.1505 0.1505
Nd 0.0401 0.8495 0.8495
Nd 0.6775 0.5768 0.0847
Nd 0.6775 0.0847 0.5768
Nd 0.3225 0.9153 0.4232
Nd 0.3225 0.4232 0.9153

(3)
This record from Alexandria describes a relaxed structure of GaBiN2F. The functional is PBE.

Computed properties:
SG = P4/mmm, No. 123
energy above the most stable polymorph in this dataset = 0.0 kJ/mol of atoms
magnetization = 0.00 μB per formula unit
uncorrected energy = -5.0589 eV/atom

Unit cell a=3.9975 b=3.9975 c=3.9439 alpha=90.00 beta=90.00 gamma=90.00
Atoms (fractional coordinates):
N 0.0000 0.5000 0.0000
N 0.5000 0.0000 0.0000
Bi 0.5000 0.5000 0.5000
Ga 0.0000 0.0000 0.0000
F 0.0000 0.0000 0.5000

(4)
This record from Alexandria describes a relaxed structure of Mg2ZrRe. The functional is PBE.

Computed properties:
SG = P4/mmm, No. 123
energy above the most stable polymorph in this dataset = 6.1 kJ/mol of atoms
magnetization = 0.00 μB per formula unit
DFT formation energy = 0.1652 eV per atom
uncorrected energy = -5.8811 eV/atom

Unit cell a=3.9794 b=3.9794 c=4.7490 alpha=90.00 beta=90.00 gamma=90.00
Atoms (fractional coordinates):
Mg 0.0000 0.0000 0.0000
Mg 0.5000 0.5000 0.0000
Re 0.5000 0.0000 0.5000
Zr 0.0000 0.5000 0.5000

(5)
This record from Alexandria describes a relaxed structure of CeSi2Rh8. The functional is PBE.

Computed properties:
SG = P4/mmm, No. 123
magnetization = 0.00 μB per formula unit
uncorrected energy = -7.0525 eV/atom

Unit cell a=5.6595 b=5.6595 c=5.7672 alpha=90.00 beta=90.00 gamma=90.00
Atoms (fractional coordinates):
Ce 0.5000 0.5000 0.5000
Si 0.5000 0.0000 0.0000
Si 0.0000 0.5000 0.0000
Rh 0.7637 0.7637 0.2426
Rh 0.7637 0.2363 0.7574
Rh 0.7637 0.7637 0.7574
Rh 0.7637 0.2363 0.2426
Rh 0.2363 0.7637 0.2426
Rh 0.2363 0.7637 0.7574
Rh 0.2363 0.2363 0.2426
Rh 0.2363 0.2363 0.7574

(6)
This record from Alexandria describes a relaxed structure of Nd3HgBr3. The functional is PBE.

Computed properties:
SG = Pm-3m, No. 221
magnetization = 0.00 μB per formula unit
uncorrected energy = -4.0299 eV/atom

Unit cell a=6.1033 b=6.1033 c=6.1033 alpha=90.00 beta=90.00 gamma=90.00
Atoms (fractional coordinates):
Nd 0.5000 0.0000 0.5000
Nd 0.5000 0.5000 0.0000
Nd 0.0000 0.5000 0.5000
Hg 0.5000 0.5000 0.5000
Br 0.0000 0.5000 0.0000
Br 0.0000 0.0000 0.5000
Br 0.5000 0.0000 0.0000

no.,V (A^3/atom)
1,29.58
2,36.90
3,12.60
4,18.80
5,16.79
6,32.48